Record 1
Entry from the Alexandria database: crystalline Li2CdSiO4 at its relaxed geometry (GGA-PBE).

Cell lengths 4.6954, 4.6954, 8.2318 Å; angles 90.00, 90.00, 90.00 degrees
Space group I-42m (No. 121)
Inequivalent atoms, fractional coordinates:
Li (0.0000, 0.5000, 0.2500) [4 per cell]
Cd (0.0000, 0.0000, 0.0000) [2 per cell]
Si (0.0000, 0.0000, 0.5000) [2 per cell]
O (0.2001, 0.2001, 0.6205) [8 per cell]

Results
The relative energy among the computed polymorphs comes out at 15 meV per atom.

Record 2
Entry from the Alexandria database: crystalline LiCd2SiO4 at its relaxed geometry (GGA-PBE).

Cell lengths 4.7048, 4.7048, 9.9356 Å; angles 90.00, 90.00, 90.00 degrees
Space group I-42m (No. 121)
Inequivalent atoms, fractional coordinates:
Li (0.0000, 0.0000, 0.0000) [2 per cell]
Cd (0.0000, 0.5000, 0.2500) [4 per cell]
Si (0.0000, 0.0000, 0.5000) [2 per cell]
O (0.2093, 0.2093, 0.5929) [8 per cell]

Computed uncorrected energy, in the same sequence as the records: -5.9232; -5.3708 eV per atom.
Computed spin magnetization, in the same sequence as the records: 0.00; 0.00 μB per formula unit.
Computed raw formation energy, in the same sequence as the records: -210; -168 kJ/mol of atoms.